# Rb5Mn2Te5 PBE-GGA optimized geometry
data_Rb5Mn2Te5
_cell_length_a 8.5851
_cell_length_b 8.5851
_cell_length_c 12.6519
_cell_angle_alpha 99.46
_cell_angle_beta 99.46
_cell_angle_gamma 31.43
_space_group_name_H-M_alt 'P 1'
_space_group_IT_number 1
_space_group_name_Hall 'P 1'
loop_
_atom_site_label
_atom_site_type_symbol
_atom_site_fract_x
_atom_site_fract_y
_atom_site_fract_z
Rb1 Rb 0.0000 0.0000 0.0000
Rb2 Rb 0.1550 0.1550 0.6046
Rb3 Rb 0.2847 0.2847 0.8775
Rb4 Rb 0.7153 0.7153 0.1225
Rb5 Rb 0.8450 0.8450 0.3954
Mn1 Mn 0.4695 0.4695 0.7021
Mn2 Mn 0.5305 0.5305 0.2979
Te1 Te 0.1208 0.1208 0.2931
Te2 Te 0.3895 0.3895 0.1576
Te3 Te 0.5000 0.5000 0.5000
Te4 Te 0.6105 0.6105 0.8424
Te5 Te 0.8792 0.8792 0.7069
# Density ... 4.07 Mg/m³
# Symmetry ... C2/m (12)
# Fermi-level density of states ... 0.3885 states/eV/atom
# Magnetization ... 8.996 μB per formula unit
# ΔE_f (raw) ... -8.3 eV/f.u.
# VASP energy ... -47.2 eV for the cell shown